Crystalline Al3WSe at its relaxed geometry, computed with GGA-PBE.

## Properties
The density is 4.7 g cm⁻³. The value obtained for the magnetization is 2.06 Bohr magnetons per cell. Its formation energy without anion corrections is 4.56 eV per formula unit. The total energy is -4.62 eV/atom.

Unit cell a=4.970 b=4.970 c=4.970 alpha=90.00 beta=90.00 gamma=90.00
Last column: magnetic moment on the atom in μB.
Atoms (fractional coordinates):
Se  0.500  0.500  0.500  0.40
W  0.000  0.000  0.000  0.96
Al  0.000  0.500  0.000  0.01
Al  0.000  0.000  0.500  0.00
Al  0.500  0.000  0.000  0.02

=====

Crystalline Ba2NaSn3Pd4 at its relaxed geometry, computed with GGA-PBE.

## Properties
The density is 7.1 g cm⁻³. The value obtained for the magnetization is 0.00 Bohr magnetons per cell. The total energy is -4.43 eV/atom. For the formation energy, the calculation gives -14.7 kcal/mol of atoms.

Unit cell a=4.790 b=4.790 c=10.977 alpha=90.00 beta=90.00 gamma=90.00
Atoms (fractional coordinates):
Ba  0.500  0.000  0.245
Ba  0.000  0.500  0.755
Na  0.500  0.500  0.500
Sn  0.000  0.000  0.500
Sn  0.500  0.000  0.884
Sn  0.000  0.500  0.116
Pd  0.500  0.500  0.000
Pd  0.000  0.000  0.000
Pd  0.500  0.000  0.637
Pd  0.000  0.500  0.363

=====

What is the magnetization in the second record?
0.00 Bohr magnetons per cell

=====

Repeat the first record exactly.
Crystalline Al3WSe at its relaxed geometry, computed with GGA-PBE.

## Properties
The density is 4.7 g cm⁻³. The value obtained for the magnetization is 2.06 Bohr magnetons per cell. Its formation energy without anion corrections is 4.56 eV per formula unit. The total energy is -4.62 eV/atom.

Unit cell a=4.970 b=4.970 c=4.970 alpha=90.00 beta=90.00 gamma=90.00
Last column: magnetic moment on the atom in μB.
Atoms (fractional coordinates):
Se  0.500  0.500  0.500  0.40
W  0.000  0.000  0.000  0.96
Al  0.000  0.500  0.000  0.01
Al  0.000  0.000  0.500  0.00
Al  0.500  0.000  0.000  0.02

=====

magnetization of number 1 (Al3WSe)?
2.06 Bohr magnetons per cell

=====

Which value of magnetization does entry 2 give?
0.00 Bohr magnetons per cell